1.
# LiFeAs2

A relaxed LiFeAs2 crystal (GGA-PBEsol, Alexandria).

abc: 3.403 3.403 4.875
angles: 90.00 90.00 90.00
Each line ends with the local moment (μB).
Sites, in units of the cell vectors:
Fe (0.000, 0.000, 0.470)  2.08
As (0.000, 0.000, 0.961)  0.00
As (0.500, 0.500, 0.290)  -0.03
Li (0.500, 0.500, 0.778)  -0.01

Properties
The calculation puts the spin magnetization at 0.51 μB/atom. The calculated formation energy is -0.054 eV/atom. Its energy above the lowest structure with this stoichiometry is 0 meV per atom.


2.
# SrAuNO2

A relaxed SrAuNO2 crystal (GGA-PBEsol, Alexandria).

abc: 4.503 4.503 4.808
angles: 90.00 90.00 90.00
Each line ends with the local moment (μB).
Sites, in units of the cell vectors:
Sr (0.000, 0.000, 0.000)  0.09
N (0.000, 0.000, 0.500)  1.46
O (0.500, 0.000, 0.000)  0.77
Au (0.500, 0.500, 0.500)  0.07
O (0.000, 0.500, 0.000)  0.77

Properties
The formation energy (no corrections) is 5.0 eV/f.u. The calculation puts the spin magnetization at 0.81 μB/atom.


3.
# Zr2ZnSe

A relaxed Zr2ZnSe crystal (GGA-PBEsol, Alexandria).

abc: 3.257 4.753 4.753
angles: 100.68 90.00 90.00
Sites, in units of the cell vectors:
Se (0.500, 0.000, 0.000)
Zn (0.500, 0.500, 0.500)
Zr (0.000, 0.500, 0.000)
Zr (0.000, 0.000, 0.500)

Properties
The formation energy (no corrections) is -2.4 eV/f.u. The calculation puts the spin magnetization at 0.00 μB/atom. Its energy above the lowest structure with this stoichiometry is 0 meV per atom.


4.
# SmHO2

A relaxed SmHO2 crystal (GGA-PBEsol, Alexandria).

abc: 3.723 4.349 6.103
angles: 108.63 90.00 90.00
Sites, in units of the cell vectors:
O (0.250, 0.236, 0.954)
O (0.750, 0.754, 0.561)
Sm (0.750, 0.333, 0.191)
Sm (0.250, 0.667, 0.809)
O (0.750, 0.764, 0.046)
H (0.250, 0.016, 0.426)
O (0.250, 0.246, 0.439)
H (0.750, 0.984, 0.574)

Properties
The calculation puts the spin magnetization at 0.00 μB/atom. The calculation puts the total DFT energy (no corrections) at -29.370 eV per formula unit.


5.
# SrMnAg2

A relaxed SrMnAg2 crystal (GGA-PBEsol, Alexandria).

abc: 3.440 3.440 7.151
angles: 90.00 90.00 90.00
Each line ends with the local moment (μB).
Sites, in units of the cell vectors:
Ag (0.000, 0.000, 0.807)  0.03
Sr (0.500, 0.500, 0.500)  0.02
Ag (0.000, 0.000, 0.193)  0.03
Mn (0.500, 0.500, 0.000)  3.96

Properties
The calculation puts the spin magnetization at 1.08 μB/atom. The calculated formation energy is 0.201 eV/atom.


6.
# MnCdSi

A relaxed MnCdSi crystal (GGA-PBEsol, Alexandria).

abc: 4.324 4.324 4.324
angles: 60.00 60.00 60.00
Each line ends with the local moment (μB).
Sites, in units of the cell vectors:
Si (0.500, 0.500, 0.500)  0.01
Mn (0.000, 0.000, 0.000)  3.93
Cd (0.750, 0.750, 0.750)  0.02

Properties
The formation energy (no corrections) is 2.0 eV/f.u. The calculation puts the spin magnetization at 1.42 μB/atom.


7.
# BaSc2PF

A relaxed BaSc2PF crystal (GGA-PBEsol, Alexandria).

abc: 4.480 4.480 5.147
angles: 90.00 90.00 90.00
Sites, in units of the cell vectors:
Sc (0.000, 0.500, 0.000)
Sc (0.500, 0.000, 0.000)
Ba (0.000, 0.000, 0.500)
F (0.000, 0.000, 0.000)
P (0.500, 0.500, 0.500)

Properties
The formation energy (no corrections) is -4.6 eV/f.u. The calculation puts the spin magnetization at 0.00 μB/atom.


8.
# CoTcHgAs2

A relaxed CoTcHgAs2 crystal (GGA-PBEsol, Alexandria).

abc: 4.663 4.663 4.769
angles: 90.00 90.00 90.00
Each line ends with the local moment (μB).
Sites, in units of the cell vectors:
Hg (0.500, 0.500, 0.500)  0.01
Co (0.000, 0.000, 0.500)  1.94
As (0.000, 0.500, 0.000)  -0.01
Tc (0.000, 0.000, 0.000)  0.15
As (0.500, 0.000, 0.000)  -0.01

Properties
The calculation puts the spin magnetization at 0.41 μB/atom. The calculated formation energy is 0.738 eV/atom.